NdZnS2O8 | PBE-GGA | relaxed

Cell lengths 5.230, 5.230, 7.751 Å; angles 90.00, 90.00, 120.00 degrees
Sites, in units of the cell vectors:
1 Nd 0.000 0.000 0.000
2 Zn 0.000 0.000 0.500
3 S 0.333 0.667 0.186
4 S 0.667 0.333 0.814
5 O 0.177 0.354 0.246
6 O 0.177 0.823 0.246
7 O 0.333 0.667 0.992
8 O 0.354 0.177 0.754
9 O 0.646 0.823 0.246
10 O 0.667 0.333 0.008
11 O 0.823 0.177 0.754
12 O 0.823 0.646 0.754

## Properties
DFT total energy   -73.937 eV per cell
ρ   3.63 Mg/m³
Formation energy from raw total energies   -1.665 eV per atom